(1)
This record from Alexandria describes a geometry-optimized NbGeSb3 structure. The functional is PBE.

```
data_NbGeSb3
_cell_length_a 5.189
_cell_length_b 5.189
_cell_length_c 5.189
_cell_angle_alpha 90.00
_cell_angle_beta 90.00
_cell_angle_gamma 90.00
_symmetry_space_group_name_H-M 'P m -3 m'
_symmetry_Int_Tables_number 221
_symmetry_space_group_name_Hall '-P 4 2 3'
loop_
_atom_site_label
_atom_site_fract_x
_atom_site_fract_y
_atom_site_fract_z
Nb1 0.000 0.000 0.000
Ge1 0.500 0.500 0.500
Sb1 0.000 0.500 0.500
```

Results
energy relative to the lowest polymorph listed for this composition: 0.585 eV per atom

=====

(2)
This record from Alexandria describes a geometry-optimized AcHgSeO6 structure. The functional is PBE.

```
data_AcHgSeO6
_cell_length_a 5.145
_cell_length_b 5.452
_cell_length_c 5.455
_cell_angle_alpha 117.55
_cell_angle_beta 90.72
_cell_angle_gamma 90.74
_symmetry_space_group_name_H-M 'P 1'
_symmetry_Int_Tables_number 1
loop_
_symmetry_equiv_pos_as_xyz
'x,y,z'
loop_
_atom_site_label
_atom_site_fract_x
_atom_site_fract_y
_atom_site_fract_z
Ac1 0.000 0.000 0.000
Hg1 0.500 0.330 0.670
Se1 0.499 0.667 0.332
O1 0.280 0.672 0.078
O2 0.282 0.406 0.357
O3 0.309 0.938 0.614
O4 0.689 0.385 0.062
O5 0.717 0.644 0.594
O6 0.718 0.921 0.325
```

Results
energy: -5.39 eV per atom

=====

Number 1: Fermi-level density of states 7.29 states/eV/cell. Number 2: Fermi-level density of states 3.50 states/eV/cell.